# 1
# Pa2Ni3P4Rh

A relaxed Pa2Ni3P4Rh crystal (PBE, the Alexandria database).

Lattice parameters (Å, degrees): 4.1003 4.1003 8.9122 90.00 90.00 90.00
With the nearest neighbours (Å) after each atom.
Space group P-4m2 (No. 115)
One atom of each set of equivalent atoms:
Pa (0.0000, 0.5000, 0.2418) x2  8 P 2.97-3.08, 7 Ni 3.08-3.13, 2 Rh 3.08
Ni (0.0000, 0.5000, 0.8906) x2  5 P 2.23-2.27
Ni (0.5000, 0.5000, 0.5000) x1  4 P 2.40
P (0.0000, 0.0000, 0.0000) x1  4 Ni 2.27
P (0.0000, 0.5000, 0.6401) x2  3 Ni 2.23-2.40, 2 Rh 2.40
P (0.5000, 0.5000, 0.0000) x1  4 Ni 2.27
Rh (0.0000, 0.0000, 0.5000) x1  4 P 2.40

Output
Energy of formation from the pure elements ... -0.929 eV per atom
Total magnetic moment ... 0.000 μB/f.u.

***

# 2
# Nd2Ho6Tm

A relaxed Nd2Ho6Tm crystal (PBE, the Alexandria database).

Lattice parameters (Å, degrees): 12.7715 14.2629 6.5544 90.00 104.19 90.00
With the nearest neighbours (Å) after each atom.
Space group C2/c (No. 15)
One atom of each set of equivalent atoms:
Nd (0.1439, 0.0253, 0.3742) x8  3 Nd 3.36-3.64, 7 Ho 3.40-3.66
Ho (0.0360, 0.1885, 0.0044) x8  5 Ho 3.24-3.56, 1 Tm 3.30, 3 Nd 3.40-3.54
Ho (0.1313, 0.4089, 0.8137) x8  3 Ho 3.25-3.42, 1 Tm 3.38, 2 Nd 3.51-3.52
Ho (0.2402, 0.2010, 0.7294) x8  6 Ho 3.35-3.52, 2 Nd 3.44-3.66, 1 Tm 3.50
Tm (0.0000, 0.3832, 0.2500) x4  10 Ho 3.30-3.68

Output
Energy of formation from the pure elements ... 0.114 eV per atom
Total magnetic moment ... 0.000 μB/f.u.

***

# 3
# Mg4SnH

A relaxed Mg4SnH crystal (PBE, the Alexandria database).

Lattice parameters (Å, degrees): 5.5192 7.7871 5.8113 90.00 92.59 90.00
With the nearest neighbours (Å) after each atom.
Space group P2_1/c (No. 14)
One atom of each set of equivalent atoms:
Mg (0.1552, 0.2190, 0.2557) x4  1 H 2.40
Mg (0.3112, 0.6402, 0.9937) x4  1 H 2.04
Sn (0.5000, 0.0000, 0.0000) x2  10 Mg 2.99-3.28
H (0.0000, 0.0000, 0.5000) x2  2 Mg 2.04

Output
Uncorrected energy ... -13.413 eV/f.u.
Total magnetic moment ... 0.000 μB/f.u.

***

# 4
# YTc2Sn2

A relaxed YTc2Sn2 crystal (PBE, the Alexandria database).

Lattice parameters (Å, degrees): 7.7867 7.7867 3.2684 90.00 90.00 90.00
With the nearest neighbours (Å) after each atom.
Space group P4/mbm (No. 127)
One atom of each set of equivalent atoms:
Y (0.0000, 0.0000, 0.0000) x2  4 Tc 3.04, 2 Y 3.27, 8 Sn 3.35
Tc (0.1326, 0.3674, 0.0000) x4  6 Sn 2.81, 1 Tc 2.92, 2 Y 3.04
Sn (0.1603, 0.6603, 0.5000) x4  6 Tc 2.81

Output
Energy of formation from the pure elements ... -0.042 eV per atom
Total magnetic moment ... 0.304 μB/f.u.